Entry from the Alexandria database: crystalline Th3Re at its relaxed geometry (PBE).

Geometry as POSCAR:
```
Th3Re
1.0
1.959 -5.899 0.000
1.959 5.899 0.000
0.000 0.000 9.837
Th Re
6 2
direct
0.084 0.916 0.750
0.361 0.639 0.559
0.361 0.639 0.941
0.639 0.361 0.059
0.639 0.361 0.441
0.916 0.084 0.250
0.223 0.777 0.250
0.777 0.223 0.750
```

ρ: 12.89 g/cm³
DFT total energy: -8.6876 eV/atom

---

Entry from the Alexandria database: crystalline PmMgPd2 at its relaxed geometry (PBE).

Geometry as POSCAR:
```
PmMgPd2
1.0
3.422 0.000 0.000
0.000 3.422 0.000
0.000 0.000 6.756
Pm Mg Pd
1 1 2
direct
0.000 0.000 0.000
0.000 0.000 0.500
0.500 0.500 0.283
0.500 0.500 0.717
```

ρ: 8.02 g/cm³
DFT total energy: -4.9013 eV/atom